The following is a PBE calculation of a relaxed Dy3TlPt crystal, from the Alexandria database.

- M_tot: 0.0 μB/cell
- Relative energy among the computed polymorphs: 0.0 meV per atom
- Space-group type: Pmmn
- ΔE_f: -317.9 kJ/mol of formula units

Unit cell a=4.782 b=6.883 c=8.440 alpha=90.00 beta=90.00 gamma=90.00
Fractional positions:
Dy 0.750 0.750 0.065
Dy 0.250 0.250 0.935
Dy 0.750 0.002 0.662
Dy 0.750 0.498 0.662
Dy 0.250 0.998 0.338
Dy 0.250 0.502 0.338
Tl 0.750 0.250 0.169
Tl 0.250 0.750 0.831
Pt 0.750 0.750 0.397
Pt 0.250 0.250 0.603